A plane-wave DFT calculation with GGA-PBE was carried out for an optimized crystal structure of CaNbIr.

abc: 4.548 4.548 6.896
angles: 90.00 90.00 90.00
Element x y z (fractional)
1 Ca 0.250 0.250 0.137
2 Ca 0.750 0.750 0.863
3 Nb 0.250 0.750 0.500
4 Nb 0.750 0.250 0.500
5 Ir 0.250 0.250 0.677
6 Ir 0.750 0.750 0.323

ΔH_f (0 K)   -1.1 eV per formula unit
DOS(E_F)   2.221 states/eV/f.u.